Version w
# DyTm2In (PBE, relaxed)
data_DyTm2In
_cell_length_a 3.5270
_cell_length_b 3.5270
_cell_length_c 32.5733
_cell_angle_alpha 90.00
_cell_angle_beta 90.00
_cell_angle_gamma 120.00
_symmetry_space_group_name_H-M 'R 3 m'
_symmetry_Int_Tables_number 160
_symmetry_space_group_name_Hall 'R 3 -2"'
loop_
_atom_site_label
_atom_site_type_symbol
_atom_site_fract_x
_atom_site_fract_y
_atom_site_fract_z
_atom_site_occupancy
Dy1 Dy 0.0000 0.0000 0.0000 1
Tm1 Tm 0.0000 0.0000 0.2456 1
Tm2 Tm 0.0000 0.0000 0.4208 1
In1 In 0.0000 0.0000 0.8334 1
# D(E_F): 14.2 states/eV per cell

---

Version x
# DyTm2In (PBE, relaxed)
data_DyTm2In
_cell_length_a 3.552
_cell_length_b 3.552
_cell_length_c 9.058
_cell_angle_alpha 90.00
_cell_angle_beta 90.00
_cell_angle_gamma 90.00
_symmetry_space_group_name_H-M 'P 4/m m m'
_symmetry_Int_Tables_number 123
_symmetry_space_group_name_Hall '-P 4 2'
loop_
_atom_site_label
_atom_site_type_symbol
_atom_site_fract_x
_atom_site_fract_y
_atom_site_fract_z
_atom_site_occupancy
Dy1 Dy 0.000 0.000 0.000 1
Tm1 Tm 0.500 0.500 0.272 1
In1 In 0.000 0.000 0.500 1
# D(E_F): 3.9 states/eV per cell

---

Version y
# DyTm2In (PBE, relaxed)
data_DyTm2In
_cell_length_a 4.800
_cell_length_b 4.800
_cell_length_c 4.803
_cell_angle_alpha 90.00
_cell_angle_beta 90.00
_cell_angle_gamma 90.00
_symmetry_space_group_name_H-M 'P 4/m m m'
_symmetry_Int_Tables_number 123
_symmetry_space_group_name_Hall '-P 4 2'
loop_
_atom_site_label
_atom_site_type_symbol
_atom_site_fract_x
_atom_site_fract_y
_atom_site_fract_z
_atom_site_occupancy
Dy1 Dy 0.000 0.000 0.000 1
Tm1 Tm 0.000 0.500 0.500 1
In1 In 0.500 0.500 0.000 1
# D(E_F): 5.1 states/eV per cell

---

The structure with the greatest stability is version y.

---

Version w
# DyTm2In (PBE, relaxed)
data_DyTm2In
_cell_length_a 7.633
_cell_length_b 7.633
_cell_length_c 7.633
_cell_angle_alpha 90.00
_cell_angle_beta 90.00
_cell_angle_gamma 90.00
_symmetry_space_group_name_H-M 'F m -3 m'
_symmetry_Int_Tables_number 225
_symmetry_space_group_name_Hall '-F 4 2 3'
loop_
_atom_site_label
_atom_site_type_symbol
_atom_site_fract_x
_atom_site_fract_y
_atom_site_fract_z
_atom_site_occupancy
Dy1 Dy 0.000 0.000 0.000 1
Tm1 Tm 0.250 0.250 0.250 1
In1 In 0.000 0.000 0.500 1
# D(E_F): 26.0 states/eV per cell

---

Version x
# DyTm2In (PBE, relaxed)
data_DyTm2In
_cell_length_a 3.4433
_cell_length_b 3.4433
_cell_length_c 35.4027
_cell_angle_alpha 90.00
_cell_angle_beta 90.00
_cell_angle_gamma 120.00
_symmetry_space_group_name_H-M 'R -3 m'
_symmetry_Int_Tables_number 166
_symmetry_space_group_name_Hall '-R 3 2"'
loop_
_atom_site_label
_atom_site_type_symbol
_atom_site_fract_x
_atom_site_fract_y
_atom_site_fract_z
_atom_site_occupancy
Dy1 Dy 0.0000 0.0000 0.0000 1
Tm1 Tm 0.0000 0.0000 0.0955 1
In1 In 0.0000 0.0000 0.5000 1
# D(E_F): 17.2 states/eV per cell

---

The structure with the greatest stability is version w.